Run a
LaNdB2Pd2Pt6: optimized geometry, PBE.

Lattice parameters (Å, degrees): 5.506 5.506 7.705 90.00 90.00 120.00
Atoms (fractional coordinates):
La 0.000 0.000 0.000
Nd 0.000 0.000 0.500
B 0.333 0.667 0.500
B 0.667 0.333 0.500
Pd 0.333 0.667 0.000
Pd 0.667 0.333 0.000
Pt 0.000 0.500 0.301
Pt 0.000 0.500 0.699
Pt 0.500 0.000 0.301
Pt 0.500 0.000 0.699
Pt 0.500 0.500 0.301
Pt 0.500 0.500 0.699

Output
- magnetic moment (μB per atom) = 0.001

Run b
LaNdB2Pd2Pt6: optimized geometry, PBE.

Lattice parameters (Å, degrees): 5.511 5.511 7.713 90.00 90.00 120.00
Atoms (fractional coordinates):
La 0.000 0.000 0.000
Nd 0.000 0.000 0.500
B 0.333 0.667 0.000
B 0.667 0.333 0.000
Pd 0.333 0.667 0.500
Pd 0.667 0.333 0.500
Pt 0.000 0.500 0.199
Pt 0.000 0.500 0.801
Pt 0.500 0.000 0.199
Pt 0.500 0.000 0.801
Pt 0.500 0.500 0.199
Pt 0.500 0.500 0.801

Output
- magnetic moment (μB per atom) = 0.001

Quick ranking, most stable first: run a, run b.

Run a
LaPrNi6B2Pd2: optimized geometry, PBE.

Lattice parameters (Å, degrees): 5.195 5.195 7.231 90.00 90.00 120.00
Atoms (fractional coordinates):
La 0.000 0.000 0.000
Pr 0.000 0.000 0.500
Ni 0.000 0.500 0.193
Ni 0.000 0.500 0.807
Ni 0.500 0.000 0.193
Ni 0.500 0.000 0.807
Ni 0.500 0.500 0.193
Ni 0.500 0.500 0.807
B 0.333 0.667 0.000
B 0.667 0.333 0.000
Pd 0.333 0.667 0.500
Pd 0.667 0.333 0.500

Output
- magnetic moment (μB per atom) = 0.000

Run b
LaPrNi6B2Pd2: optimized geometry, PBE.

Lattice parameters (Å, degrees): 5.194 5.194 7.239 90.00 90.00 120.00
Atoms (fractional coordinates):
La 0.000 0.000 0.000
Pr 0.000 0.000 0.500
Ni 0.000 0.500 0.307
Ni 0.000 0.500 0.693
Ni 0.500 0.000 0.307
Ni 0.500 0.000 0.693
Ni 0.500 0.500 0.307
Ni 0.500 0.500 0.693
B 0.333 0.667 0.500
B 0.667 0.333 0.500
Pd 0.333 0.667 0.000
Pd 0.667 0.333 0.000

Output
- magnetic moment (μB per atom) = 0.000

Quick ranking, most stable first: run b, run a.

Run a
LaNpB: optimized geometry, PBE.

Lattice parameters (Å, degrees): 4.523 4.523 4.523 60.00 60.00 60.00
Atoms (fractional coordinates):
La 0.000 0.000 0.000
Np 0.500 0.500 0.500
B 0.250 0.250 0.250

Output
- magnetic moment (μB per atom) = 1.432

Run b
LaNpB: optimized geometry, PBE.

Lattice parameters (Å, degrees): 4.539 4.539 4.539 60.00 60.00 60.00
Atoms (fractional coordinates):
La 0.000 0.000 0.000
Np 0.250 0.250 0.250
B 0.750 0.750 0.750

Output
- magnetic moment (μB per atom) = 1.634

Quick ranking, most stable first: run a, run b.

Run a
LaBOs: optimized geometry, PBE.

Lattice parameters (Å, degrees): 3.031 3.031 5.544 90.00 90.00 90.00
Atoms (fractional coordinates):
La 0.000 0.000 0.000
B 0.000 0.000 0.500
Os 0.500 0.500 0.500

Output
- magnetic moment (μB per atom) = 0.007

Run b
LaBOs: optimized geometry, PBE.

Lattice parameters (Å, degrees): 4.517 4.517 4.517 60.00 60.00 60.00
Atoms (fractional coordinates):
La 0.000 0.000 0.000
B 0.750 0.750 0.750
Os 0.250 0.250 0.250

Output
- magnetic moment (μB per atom) = 0.000

Quick ranking, most stable first: run a, run b.

Run a
LaPrB2Pd8: optimized geometry, PBE.

Lattice parameters (Å, degrees): 5.510 5.510 7.673 90.00 90.00 120.00
Atoms (fractional coordinates):
La 0.000 0.000 0.000
Pr 0.000 0.000 0.500
B 0.333 0.667 0.500
B 0.667 0.333 0.500
Pd 0.000 0.500 0.304
Pd 0.000 0.500 0.696
Pd 0.333 0.667 0.000
Pd 0.500 0.000 0.304
Pd 0.500 0.000 0.696
Pd 0.500 0.500 0.304
Pd 0.500 0.500 0.696
Pd 0.667 0.333 0.000

Output
- magnetic moment (μB per atom) = 0.000

Run b
LaPrB2Pd8: optimized geometry, PBE.

Lattice parameters (Å, degrees): 5.512 5.512 7.673 90.00 90.00 120.00
Atoms (fractional coordinates):
La 0.000 0.000 0.000
Pr 0.000 0.000 0.500
B 0.333 0.667 0.000
B 0.667 0.333 0.000
Pd 0.000 0.500 0.196
Pd 0.000 0.500 0.804
Pd 0.333 0.667 0.500
Pd 0.500 0.000 0.196
Pd 0.500 0.000 0.804
Pd 0.500 0.500 0.196
Pd 0.500 0.500 0.804
Pd 0.667 0.333 0.500

Output
- magnetic moment (μB per atom) = 0.000

Quick ranking, most stable first: run a, run b.

Run a
LaPrB2Pd2Pt6: optimized geometry, PBE.

Lattice parameters (Å, degrees): 5.514 5.514 7.706 90.00 90.00 120.00
Atoms (fractional coordinates):
La 0.000 0.000 0.000
Pr 0.000 0.000 0.500
B 0.333 0.667 0.500
B 0.667 0.333 0.500
Pd 0.333 0.667 0.000
Pd 0.667 0.333 0.000
Pt 0.000 0.500 0.301
Pt 0.000 0.500 0.699
Pt 0.500 0.000 0.301
Pt 0.500 0.000 0.699
Pt 0.500 0.500 0.301
Pt 0.500 0.500 0.699

Output
- magnetic moment (μB per atom) = 0.001

Run b
LaPrB2Pd2Pt6: optimized geometry, PBE.

Lattice parameters (Å, degrees): 5.516 5.516 7.708 90.00 90.00 120.00
Atoms (fractional coordinates):
La 0.000 0.000 0.000
Pr 0.000 0.000 0.500
B 0.333 0.667 0.000
B 0.667 0.333 0.000
Pd 0.333 0.667 0.500
Pd 0.667 0.333 0.500
Pt 0.000 0.500 0.199
Pt 0.000 0.500 0.801
Pt 0.500 0.000 0.199
Pt 0.500 0.000 0.801
Pt 0.500 0.500 0.199
Pt 0.500 0.500 0.801

Output
- magnetic moment (μB per atom) = 0.001

Quick ranking, most stable first: run a, run b.

Run a
LaB4Pt: optimized geometry, PBE.

Lattice parameters (Å, degrees): 5.281 5.281 5.281 145.35 119.52 71.62
Atoms (fractional coordinates):
La 0.000 0.000 0.000
B 0.069 0.744 0.325
B 0.419 0.744 0.675
B 0.581 0.256 0.325
B 0.931 0.256 0.675
Pt 0.500 0.500 0.000

Output
- magnetic moment (μB per atom) = 0.000

Run b
LaB4Pt: optimized geometry, PBE.

Lattice parameters (Å, degrees): 3.251 3.251 7.348 90.00 90.00 120.00
Atoms (fractional coordinates):
La 0.000 0.000 0.000
B 0.333 0.667 0.287
B 0.333 0.667 0.713
B 0.667 0.333 0.287
B 0.667 0.333 0.713
Pt 0.000 0.000 0.500

Output
- magnetic moment (μB per atom) = 0.002

Quick ranking, most stable first: run b, run a.

Run a
LaBPt: optimized geometry, PBE.

Lattice parameters (Å, degrees): 4.539 4.539 4.539 60.00 60.00 60.00
Atoms (fractional coordinates):
La 0.000 0.000 0.000
B 0.500 0.500 0.500
Pt 0.750 0.750 0.750

Output
- magnetic moment (μB per atom) = 0.111

Run b
LaBPt: optimized geometry, PBE.

Lattice parameters (Å, degrees): 4.661 4.661 4.661 60.00 60.00 60.00
Atoms (fractional coordinates):
La 0.000 0.000 0.000
B 0.250 0.250 0.250
Pt 0.750 0.750 0.750

Output
- magnetic moment (μB per atom) = 0.000

Quick ranking, most stable first: run a, run b.